1.
# Zr2Sc2Al

Crystalline Zr2Sc2Al at its relaxed geometry (PBE-GGA, the Alexandria database).

For the energy of formation from the pure elements, the calculation gives 717 meV/atom. The calculation puts the size of the total moment at 0.00 μB per cell. As for the density of states at the Fermi level: 6.85 states/eV/f.u. The calculation puts the relative energy among the computed polymorphs at 331 kJ/mol of formula units.

It has space group R-3m (No. 166, hexagonal axes), with a = 4.7431 Å, b = 4.7431 Å, c = 21.2287 Å, α = 90.00°, β = 90.00° and γ = 120.00°. Symmetry generates all atoms from Zr at (0.0000, 0.0000, 0.0651), Sc at (0.0000, 0.0000, 0.2010) and Al at (0.0000, 0.0000, 0.5000).

=====

2.
# Ac5HoPb6

Crystalline Ac5HoPb6 at its relaxed geometry (PBE-GGA, the Alexandria database).

For the energy of formation from the pure elements, the calculation gives -460 meV/atom. The calculation puts the size of the total moment at 0.00 μB per cell. As for the density of states at the Fermi level: 10.43 states/eV/f.u. The calculation puts the relative energy among the computed polymorphs at 0 kJ/mol of formula units.

It has space group C2/m (No. 12), with a = 17.188 Å, b = 9.277 Å, c = 5.445 Å, α = 90.00°, β = 107.92° and γ = 90.00°. Symmetry generates all atoms from Ac at (0.000, 0.000, 0.000), Ac at (0.163, 0.500, 0.664), Ac at (0.168, 0.000, 0.668), Ho at (0.000, 0.500, 0.000), Pb at (0.000, 0.257, 0.500) and Pb at (0.160, 0.255, 0.160).

=====

3.
# Li2HoTh2Sn2

Crystalline Li2HoTh2Sn2 at its relaxed geometry (PBE-GGA, the Alexandria database).

For the energy of formation from the pure elements, the calculation gives -276 meV/atom. The calculation puts the size of the total moment at 0.00 μB per cell. As for the density of states at the Fermi level: 5.79 states/eV/f.u.

It has space group R-3m (No. 166, hexagonal axes), with a = 4.7996 Å, b = 4.7996 Å, c = 27.1423 Å, α = 90.00°, β = 90.00° and γ = 120.00°. Symmetry generates all atoms from Li at (0.0000, 0.0000, 0.1036), Ho at (0.0000, 0.0000, 0.5000), Th at (0.0000, 0.0000, 0.3705) and Sn at (0.0000, 0.0000, 0.2319).

=====

4.
# CaIr2Pd2

Crystalline CaIr2Pd2 at its relaxed geometry (PBE-GGA, the Alexandria database).

For the energy of formation from the pure elements, the calculation gives -23 meV/atom. The calculation puts the size of the total moment at 0.00 μB per cell. As for the density of states at the Fermi level: 4.34 states/eV/f.u.

It has space group I4/mmm (No. 139), with a = 4.191 Å, b = 4.191 Å, c = 10.945 Å, α = 90.00°, β = 90.00° and γ = 90.00°. Symmetry generates all atoms from Ca at (0.000, 0.000, 0.000), Ir at (0.000, 0.000, 0.395) and Pd at (0.000, 0.500, 0.250).